Density functional theory data (PBE) for AlSb2Ru after structural relaxation.

```
AlSb2Ru
1.0
7.231 -0.069 -0.042
6.256 3.628 -0.042
6.256 1.651 3.231
Sb Al Ru
2 1 1
Cartesian
0.191 0.050 0.030
9.681 2.555 1.543
4.936 1.302 0.787
14.807 3.907 2.361
```

Density of states at the Fermi level   1.7 states/eV/f.u.
Total energy   -5.185 eV/atom
V   87.18 Å³ per cell
Formation energy (no corrections)   0.13 eV/atom
Total magnetization   0.0 μB/f.u.

=====

Density functional theory data (PBE) for AlSbRu2Se after structural relaxation.

```
AlSbRu2Se
1.0
-0.934 -3.884 2.408
3.439 -2.122 -2.088
2.906 1.392 3.373
Ru Al Sb Se
2 1 1 1
Cartesian
-0.467 -1.942 1.204
1.453 0.696 1.686
0.000 0.000 0.000
2.706 -2.307 1.846
1.720 -1.061 -1.044
```

Density of states at the Fermi level   6.3 states/eV/f.u.
Total energy   -5.071 eV/atom
V   98.98 Å³ per cell
Formation energy (no corrections)   0.91 eV/atom
Total magnetization   0.0 μB/f.u.

=====

Density functional theory data (PBE) for AlSb2TeRu after structural relaxation.

```
AlSb2TeRu
1.0
-0.454 -0.529 4.941
-3.565 -3.422 -0.694
4.007 -4.159 -0.077
Sb Ru Al Te
2 1 1 1
Cartesian
-1.782 -1.711 -0.347
-0.227 -0.264 2.470
0.000 0.000 0.000
-0.006 -4.055 2.085
2.004 -2.079 -0.038
```

Density of states at the Fermi level   3.7 states/eV/f.u.
Total energy   -4.378 eV/atom
V   143.82 Å³ per cell
Formation energy (no corrections)   0.50 eV/atom
Offset from the most stable computed form   0.0 meV/atom
Total magnetization   0.0 μB/f.u.

=====

Density functional theory data (PBE) for AlSb2TeRu after structural relaxation.

```
AlSb2TeRu
1.0
5.158 0.000 0.000
0.000 5.158 0.000
0.000 0.000 5.224
Sb Ru Al Te
2 1 1 1
Cartesian
2.579 0.000 0.000
0.000 2.579 0.000
2.579 2.579 2.612
0.000 0.000 0.000
0.000 0.000 2.612
```

Density of states at the Fermi level   6.2 states/eV/f.u.
Total energy   -3.739 eV/atom
V   139.00 Å³ per cell
Formation energy (no corrections)   1.14 eV/atom
Offset from the most stable computed form   639.2 meV/atom
Total magnetization   1.7 μB/f.u.

=====

Density functional theory data (PBE) for AlSbTeRu2 after structural relaxation.

```
AlSbTeRu2
1.0
4.885 0.000 0.000
0.000 5.074 0.000
0.000 0.000 4.885
Ru Te Al Sb
2 1 1 1
Cartesian
0.000 0.000 2.443
2.443 0.000 0.000
0.000 0.000 0.000
0.000 2.537 0.000
2.443 2.537 2.443
```

Density of states at the Fermi level   7.2 states/eV/f.u.
Total energy   -4.661 eV/atom
V   121.09 Å³ per cell
Formation energy (no corrections)   1.25 eV/atom
Total magnetization   0.8 μB/f.u.

=====

Density functional theory data (PBE) for TiAlSb2Ru after structural relaxation.

```
TiAlSb2Ru
1.0
5.052 0.000 0.000
0.000 4.634 0.000
0.000 0.000 5.052
Sb Ru Al Ti
2 1 1 1
Cartesian
0.000 0.000 2.526
2.526 0.000 0.000
2.526 2.317 2.526
0.000 0.000 0.000
0.000 2.317 0.000
```

Density of states at the Fermi level   6.6 states/eV/f.u.
Total energy   -4.637 eV/atom
V   118.28 Å³ per cell
Formation energy (no corrections)   1.19 eV/atom
Total magnetization   1.0 μB/f.u.

=====

Question: Among the records above, which one has the lowest formation energy (no corrections)?
Answer: AlSb2Ru

=====

Copy entry 1 word for word.
Density functional theory data (PBE) for AlSb2Ru after structural relaxation.

```
AlSb2Ru
1.0
7.231 -0.069 -0.042
6.256 3.628 -0.042
6.256 1.651 3.231
Sb Al Ru
2 1 1
Cartesian
0.191 0.050 0.030
9.681 2.555 1.543
4.936 1.302 0.787
14.807 3.907 2.361
```

Density of states at the Fermi level   1.7 states/eV/f.u.
Total energy   -5.185 eV/atom
V   87.18 Å³ per cell
Formation energy (no corrections)   0.13 eV/atom
Total magnetization   0.0 μB/f.u.

=====

Question: Which formula does entry 1 have?
Answer: AlSb2Ru

=====

Question: Which formula does entry 5 have?
Answer: AlSbTeRu2